A plane-wave DFT calculation with GGA-PBE was carried out for a relaxed structure of Tb4SmTm5.

ΔE to the lowest computed polymorph: 187.7 meV per atom
magnetic moment: 0.00 μB/cell
DFT formation energy: 193.4 meV/atom

a b c (Å): 3.507 10.925 8.693
angles (deg): 90.18 101.62 90.01
Atoms (fractional coordinates):
1 Tb 0.653 0.250 0.307
2 Tb 0.972 0.252 0.944
3 Tb 0.347 0.750 0.693
4 Tb 0.028 0.748 0.056
5 Sm 0.500 0.000 0.000
6 Tm 0.173 0.549 0.346
7 Tm 0.174 0.947 0.349
8 Tm 0.826 0.053 0.651
9 Tm 0.500 0.500 0.000
10 Tm 0.827 0.451 0.654